Entry 1:
# GGA-PBE NaMnAl2, optimized geometry
data_NaMnAl2
_cell_length_a 6.445
_cell_length_b 6.445
_cell_length_c 6.445
_cell_angle_alpha 90.00
_cell_angle_beta 90.00
_cell_angle_gamma 90.00
_symmetry_space_group_name_H-M 'F m -3 m'
_symmetry_Int_Tables_number 225
_symmetry_space_group_name_Hall '-F 4 2 3'
loop_
_atom_site_label
_atom_site_type_symbol
_atom_site_fract_x
_atom_site_fract_y
_atom_site_fract_z
Na1 Na 0.000 0.000 0.000
Mn1 Mn 0.000 0.000 0.500
Al1 Al 0.250 0.250 0.250
# Spin magnetization: 13.18 μB per cell
# E: -4.27 eV per atom
# DFT formation energy: 224 meV per atom

---

Entry 2:
# GGA-PBE TiSbTe2Cl, optimized geometry
data_TiSbTe2Cl
_cell_length_a 5.215
_cell_length_b 5.215
_cell_length_c 5.383
_cell_angle_alpha 90.00
_cell_angle_beta 90.00
_cell_angle_gamma 90.00
_symmetry_space_group_name_H-M 'P 4/m m m'
_symmetry_Int_Tables_number 123
_symmetry_space_group_name_Hall '-P 4 2'
loop_
_atom_site_label
_atom_site_type_symbol
_atom_site_fract_x
_atom_site_fract_y
_atom_site_fract_z
Ti1 Ti 0.000 0.000 0.000
Sb1 Sb 0.000 0.000 0.500
Te1 Te 0.000 0.500 0.000
Cl1 Cl 0.500 0.500 0.500
# Uncorrected formation energy: -0.12 eV/atom
# Spin magnetization: 0.00 μB per cell
# E: -4.15 eV per atom
# E above lowest polymorph: 0.0 meV/atom

---

Entry 3:
# GGA-PBE Hg2Ru2Pt, optimized geometry
data_Hg2Ru2Pt
_cell_length_a 3.487
_cell_length_b 3.487
_cell_length_c 15.560
_cell_angle_alpha 90.00
_cell_angle_beta 90.00
_cell_angle_gamma 90.00
_symmetry_space_group_name_H-M 'I 4/m m m'
_symmetry_Int_Tables_number 139
_symmetry_space_group_name_Hall '-I 4 2'
loop_
_atom_site_label
_atom_site_type_symbol
_atom_site_fract_x
_atom_site_fract_y
_atom_site_fract_z
Hg1 Hg 0.000 0.000 0.098
Ru1 Ru 0.000 0.500 0.250
Pt1 Pt 0.000 0.000 0.500
# Spin magnetization: 0.01 μB per cell
# E: -4.38 eV per atom
# DFT formation energy: 663 meV per atom

---

Entry 4:
# GGA-PBE Pr14ScCd, optimized geometry
data_Pr14ScCd
_cell_length_a 10.396
_cell_length_b 10.269
_cell_length_c 10.268
_cell_angle_alpha 90.00
_cell_angle_beta 90.00
_cell_angle_gamma 90.00
_symmetry_space_group_name_H-M 'A m m 2'
_symmetry_Int_Tables_number 38
loop_
_symmetry_equiv_pos_as_xyz
'x,y,z'
'-x,-y,z'
'-x,y,z'
'x,-y,z'
'x,y+1/2,z+1/2'
'-x,-y+1/2,z+1/2'
'-x,y+1/2,z+1/2'
'x,-y+1/2,z+1/2'
loop_
_atom_site_label
_atom_site_type_symbol
_atom_site_fract_x
_atom_site_fract_y
_atom_site_fract_z
Pr1 Pr 0.000 0.000 0.000
Pr2 Pr 0.000 0.000 0.500
Pr3 Pr 0.000 0.249 0.250
Pr4 Pr 0.257 0.000 0.749
Pr5 Pr 0.257 0.249 0.500
Pr6 Pr 0.258 0.000 0.250
Pr7 Pr 0.500 0.249 0.750
Sc1 Sc 0.500 0.000 0.500
Cd1 Cd 0.500 0.000 0.000
# Spin magnetization: 0.00 μB per cell
# E: -4.64 eV per atom
# DFT formation energy: -10 meV per atom

---

- Look up the spin magnetization of the second one.
  0.00 μB per cell

---

- Number 1 is which compound?
  NaMnAl2

---

- What is the formula in the second record?
  TiSbTe2Cl